Entry 1:
VASP calculation (PBE) on a geometry-optimized SmDy5Y5 structure.

Computed properties:
The crystal system is triclinic. Its space group is P-1, No. 2.

Unit cell a=6.930 b=8.383 c=9.501 alpha=44.83 beta=89.06 gamma=103.71
Sites, in units of the cell vectors:
1 Sm 0.000 0.000 0.000
2 Dy 0.136 0.488 0.153
3 Dy 0.246 0.069 0.650
4 Dy 0.500 0.000 0.000
5 Dy 0.754 0.931 0.350
6 Dy 0.864 0.512 0.847
7 Y 0.278 0.030 0.322
8 Y 0.360 0.517 0.784
9 Y 0.000 0.500 0.500
10 Y 0.640 0.483 0.216
11 Y 0.722 0.970 0.678



Entry 2:
VASP calculation (PBE) on a geometry-optimized Sm2DyY structure.

Computed properties:
The crystal system is trigonal. Its space group is R3m, No. 160.

Unit cell a=3.614 b=3.614 c=11.808 alpha=81.20 beta=81.20 gamma=60.00
Sites, in units of the cell vectors:
1 Sm 0.083 0.083 0.751
2 Sm 0.250 0.250 0.250
3 Dy 0.667 0.667 0.999
4 Y 0.500 0.500 0.500



Number 1: volume 364.1 Å³/cell, N(E_F) 15.949 states/eV/f.u., formation energy from the elements 14 kJ per mole of atoms. Number 2: volume 131.5 Å³/cell, N(E_F) 5.925 states/eV/f.u., formation energy from the elements 1 kJ per mole of atoms.